No. 1
VASP calculation (PBE) on crystalline Mg12Tl7Bi at its relaxed geometry.

Lattice parameters (Å, degrees): 9.2553 9.2553 9.2553 109.47 109.47 109.47
With the nearest neighbours (Å) after each atom.
Element x y z (fractional)
Mg 0.4164 0.2584 0.1579  3 Tl 2.85-3.08
Mg 0.8995 0.7416 0.1579  3 Tl 2.85-3.08
Mg 0.2584 0.1579 0.4164  3 Tl 2.85-3.08
Mg 0.1005 0.2584 0.8421  3 Tl 2.85-3.08
Mg 0.8421 0.5836 0.7416  3 Tl 2.85-3.08
Mg 0.8421 0.1005 0.2584  3 Tl 2.85-3.08
Mg 0.2584 0.8421 0.1005  3 Tl 2.85-3.08
Mg 0.5836 0.7416 0.8421  3 Tl 2.85-3.08
Mg 0.7416 0.1579 0.8995  3 Tl 2.85-3.08
Mg 0.1579 0.4164 0.2584  3 Tl 2.85-3.08
Mg 0.7416 0.8421 0.5836  3 Tl 2.85-3.08
Mg 0.1579 0.8995 0.7416  3 Tl 2.85-3.08
Tl 0.0000 0.5000 0.5000  4 Mg 3.08
Tl 0.5000 0.0000 0.5000  4 Mg 3.08
Tl 0.0000 0.0000 0.5000  6 Mg 2.85
Tl 0.5000 0.0000 0.0000  6 Mg 2.85
Tl 0.5000 0.5000 0.5000  6 Mg 2.85
Tl 0.0000 0.5000 0.0000  6 Mg 2.85
Tl 0.5000 0.5000 0.0000  4 Mg 3.08
Bi 0.0000 0.0000 0.0000  12 Mg 3.24

**Magnetization**: 0.0 μB per formula unit
**DFT total energy**: -1.83 eV/atom
**Space group**: Im-3



No. 2
VASP calculation (PBE) on crystalline La2Y3Th at its relaxed geometry.

Lattice parameters (Å, degrees): 3.5618 16.4997 7.0685 90.00 90.00 90.00
With the nearest neighbours (Å) after each atom.
Element x y z (fractional)
Th 0.0000 0.0000 0.5000  6 Y 3.48-3.53, 2 Th 3.56, 4 La 3.60
Th 0.5000 0.5000 0.0000  6 Y 3.48-3.53, 2 Th 3.56, 4 La 3.60
Y 0.5000 0.1489 0.2585  2 Th 3.48, 4 La 3.49-3.68, 4 Y 3.54-3.56
Y 0.5000 0.5000 0.5000  2 Th 3.53, 6 Y 3.54-3.56, 4 La 3.59
Y 0.5000 0.8511 0.7415  2 Th 3.48, 4 La 3.49-3.68, 4 Y 3.54-3.56
Y 0.0000 0.6489 0.2415  2 Th 3.48, 4 La 3.49-3.68, 4 Y 3.54-3.56
Y 0.0000 0.3511 0.7585  2 Th 3.48, 4 La 3.49-3.68, 4 Y 3.54-3.56
Y 0.0000 0.0000 0.0000  2 Th 3.53, 6 Y 3.54-3.56, 4 La 3.59
La 0.0000 0.3441 0.2521  6 Y 3.49-3.68, 2 La 3.56, 2 Th 3.60
La 0.0000 0.6559 0.7479  6 Y 3.49-3.68, 2 La 3.56, 2 Th 3.60
La 0.5000 0.1559 0.7521  6 Y 3.49-3.68, 2 La 3.56, 2 Th 3.60
La 0.5000 0.8441 0.2479  6 Y 3.49-3.68, 2 La 3.56, 2 Th 3.60

**Relative energy among the computed polymorphs**: 20.2 meV/atom
**Magnetization**: 0.0 μB per formula unit
**DFT total energy**: -5.99 eV/atom
**Space group**: Pnnm



No. 3
VASP calculation (PBE) on crystalline Ac4GaGe3 at its relaxed geometry.

Lattice parameters (Å, degrees): 4.7627 4.2858 11.9028 90.00 90.00 90.00
With the nearest neighbours (Å) after each atom.
Element x y z (fractional)
Ge 0.0000 0.5000 0.5731  2 Ge 2.75
Ge 0.5000 0.0000 0.9286  2 Ga 2.72
Ge 0.0000 0.0000 0.4288  2 Ge 2.75
Ac 0.0000 0.5000 0.8585  5 Ge 3.31-3.40, 2 Ga 3.46
Ac 0.5000 0.5000 0.3603  6 Ge 3.31-3.48, 1 Ga 3.46
Ac 0.5000 0.0000 0.6395  7 Ge 3.30-3.46
Ac 0.0000 0.0000 0.1419  4 Ga 3.32, 3 Ge 3.41-3.48
Ga 0.5000 0.5000 0.0693  2 Ge 2.72

**Magnetization**: 0.2 μB per formula unit
**DFT total energy**: -4.84 eV/atom
**Space group**: Pmm2



No. 4
VASP calculation (PBE) on crystalline RbCd4I8 at its relaxed geometry.

Lattice parameters (Å, degrees): 9.4419 9.4419 9.4419 60.00 60.00 60.00
With the nearest neighbours (Å) after each atom.
Element x y z (fractional)
I 0.5876 0.1375 0.1375  3 Cd 3.10
I 0.6034 0.6034 0.6034  3 Cd 3.17, 1 Rb 3.39
I 0.6034 0.6034 0.1899  3 Cd 3.17, 1 Rb 3.39
I 0.1375 0.1375 0.1375  3 Cd 3.10
I 0.1899 0.6034 0.6034  3 Cd 3.17, 1 Rb 3.39
I 0.1375 0.5876 0.1375  3 Cd 3.10
I 0.6034 0.1899 0.6034  3 Cd 3.17, 1 Rb 3.39
I 0.1375 0.1375 0.5876  3 Cd 3.10
Cd 0.3691 0.8928 0.3691  6 I 3.10-3.17
Cd 0.3691 0.3691 0.3691  6 I 3.10-3.17
Cd 0.8928 0.3691 0.3691  6 I 3.10-3.17
Cd 0.3691 0.3691 0.8928  6 I 3.10-3.17
Rb 0.7500 0.7500 0.7500  4 I 3.39

**Magnetization**: 0.0 μB per formula unit
**Raw formation energy**: -0.5588 eV per atom
**DFT total energy**: -1.87 eV/atom
**Space group**: F-43m



No. 5
VASP calculation (PBE) on crystalline Ac8Hg4Ir3Rh at its relaxed geometry.

Lattice parameters (Å, degrees): 8.6916 9.6204 8.6925 116.88 120.00 90.00
With the nearest neighbours (Å) after each atom.
Element x y z (fractional)
Hg 0.5000 0.0000 0.5000  6 Ac 3.52
Hg 0.0000 0.0000 0.0000  6 Ac 3.52
Hg 0.5000 0.0000 0.0000  6 Ac 3.51
Hg 0.0000 0.0000 0.5000  6 Ac 3.52
Ir 0.0000 0.5000 0.5000  6 Ac 2.99
Ir 0.5000 0.5000 0.5000  6 Ac 2.99
Ir 0.5000 0.5000 0.0000  6 Ac 2.99
Ac 0.7318 0.6996 0.9658  2 Ir 2.99, 1 Rh 3.01
Ac 0.7660 0.3004 0.5319  2 Ir 2.99, 1 Rh 3.01
Ac 0.2682 0.3004 0.0342  2 Ir 2.99, 1 Rh 3.01
Ac 0.2669 0.3008 0.5338  3 Ir 2.99
Ac 0.7660 0.3004 0.0342  2 Ir 2.99, 1 Rh 3.01
Ac 0.2340 0.6996 0.4681  2 Ir 2.99, 1 Rh 3.01
Ac 0.2340 0.6996 0.9658  2 Ir 2.99, 1 Rh 3.01
Ac 0.7331 0.6992 0.4662  3 Ir 2.99
Rh 0.0000 0.5000 0.0000  6 Ac 3.01

**Magnetization**: 0.0 μB per formula unit
**DFT total energy**: -4.86 eV/atom
**Space group**: R-3m



No. 6
VASP calculation (PBE) on crystalline Pm2PuAu3 at its relaxed geometry.

Lattice parameters (Å, degrees): 3.6546 3.6546 11.1466 90.00 90.00 90.00
With the nearest neighbours (Å) after each atom.
Element x y z (fractional)
Pm 0.5000 0.5000 0.8316  8 Au 3.15-3.19
Pm 0.5000 0.5000 0.1684  8 Au 3.15-3.19
Pu 0.5000 0.5000 0.5000  8 Au 3.21
Au 0.0000 0.0000 0.6704  4 Pm 3.15, 4 Pu 3.21
Au 0.0000 0.0000 0.0000  8 Pm 3.19
Au 0.0000 0.0000 0.3296  4 Pm 3.15, 4 Pu 3.21

**Magnetization**: 5.7 μB per formula unit
**DFT total energy**: -6.27 eV/atom
**Space group**: P4/mmm